Compound: MgPd3Ru
Source: the Alexandria database
Functional: PBE
Structure: optimized geometry

Calculated values
Final energy ... -22.1 eV per cell
ΔE to the lowest computed polymorph ... 0.0 meV per atom
Formation enthalpy at 0 K ... 0.869 eV per atom
Crystal system ... cubic

Structure (POSCAR):
```
MgPd3Ru
1.0
4.809 0.000 0.000
0.000 4.809 0.000
0.000 0.000 4.809
Mg Ru Pd
1 1 3
Direct
0.500 0.500 0.500
0.000 0.000 0.000
0.000 0.000 0.500
0.000 0.500 0.000
0.500 0.000 0.000
```

=====

Compound: Mg2PdRu2
Source: the Alexandria database
Functional: PBE
Structure: optimized geometry

Calculated values
Final energy ... -52.0 eV per cell
ΔE to the lowest computed polymorph ... 52.0 meV per atom
Formation enthalpy at 0 K ... 0.188 eV per atom
Crystal system ... tetragonal

Structure (POSCAR):
```
Mg2PdRu2
1.0
6.645 0.000 0.000
0.000 6.645 0.000
0.000 0.000 3.926
Mg Ru Pd
4 4 2
Direct
0.823 0.323 0.500
0.677 0.823 0.500
0.323 0.177 0.500
0.177 0.677 0.500
0.123 0.377 0.000
0.877 0.623 0.000
0.377 0.877 0.000
0.623 0.123 0.000
0.000 0.000 0.000
0.500 0.500 0.000
```

=====

Compound: Mg8Pd2Ru
Source: the Alexandria database
Functional: PBE
Structure: optimized geometry

Calculated values
Final energy ... -35.8 eV per cell
Formation enthalpy at 0 K ... -0.305 eV per atom
Crystal system ... orthorhombic

Structure (POSCAR):
```
Mg8Pd2Ru
1.0
-0.073 -4.408 0.510
6.743 -0.477 -3.164
-0.710 3.036 6.832
Ru Mg Pd
1 8 2
Direct
0.500 0.000 0.000
0.000 0.309 0.000
0.652 0.870 0.305
0.347 0.565 0.695
0.861 0.861 0.721
0.139 0.139 0.279
0.000 0.691 0.000
0.348 0.130 0.695
0.653 0.435 0.305
0.797 0.297 0.594
0.203 0.703 0.406
```

=====

Compound: Mg2PdRu2
Source: the Alexandria database
Functional: PBE
Structure: optimized geometry

Calculated values
Final energy ... -26.3 eV per cell
ΔE to the lowest computed polymorph ... 0.0 meV per atom
Formation enthalpy at 0 K ... 0.136 eV per atom
Crystal system ... tetragonal

Structure (POSCAR):
```
Mg2PdRu2
1.0
-2.122 2.694 0.292
-2.708 -2.122 -0.095
-2.182 -0.348 7.635
Mg Ru Pd
2 2 1
Direct
0.402 0.402 0.196
0.598 0.598 0.804
0.750 0.250 0.500
0.250 0.750 0.500
0.000 0.000 0.000
```

=====

Compound: MgPdRu2S
Source: the Alexandria database
Functional: PBE
Structure: optimized geometry

Calculated values
Final energy ... -21.3 eV per cell
Crystal system ... tetragonal
E_form (uncorrected) ... 8.1 eV/f.u.

Structure (POSCAR):
```
MgPdRu2S
1.0
4.690 0.000 0.000
0.000 4.506 0.000
0.000 0.000 4.690
S Mg Pd Ru
1 1 1 2
Direct
0.500 0.500 0.500
0.000 0.000 0.000
0.000 0.500 0.000
0.000 0.000 0.500
0.500 0.000 0.000
```

=====

Compound: MgSbPdRu
Source: the Alexandria database
Functional: PBE
Structure: optimized geometry

Calculated values
Final energy ... -21.4 eV per cell
Crystal system ... cubic
E_form (uncorrected) ... -1.2 eV/f.u.

Structure (POSCAR):
```
MgSbPdRu
1.0
4.539 0.000 0.000
2.270 3.931 0.000
2.270 1.310 3.706
Ru Sb Pd Mg
1 1 1 1
Direct
0.750 0.750 0.750
0.000 0.000 0.000
0.250 0.250 0.250
0.500 0.500 0.500
```